## DyMg5Hg6 (GGA-PBE)

Data for DyMg5Hg6 after structural relaxation.

```
DyMg5Hg6
1.0
-2.738 3.160 2.547
-3.375 -5.617 3.340
6.452 -1.475 4.039
Mg Hg Dy
5 6 1
Direct
0.331 0.500 0.663
0.669 0.500 0.337
0.000 0.500 0.000
0.668 0.000 0.335
0.332 0.000 0.665
0.829 0.250 0.660
0.171 0.750 0.340
0.500 0.736 0.000
0.171 0.250 0.340
0.500 0.264 0.000
0.829 0.750 0.660
0.000 0.000 0.000
```

## Properties
- theoretical density (Mg/m³) = 9.33
- crystal system = monoclinic
- ΔH_f (0 K) (eV/atom) = -0.285
- Fermi-level density of states (states/eV/cell) = 4.367
- DFT total energy (Ry per atom) = -0.10909
- space group = No. 10
- total moment (Bohr magnetons per cell) = 0.00